Entry 1:
Here is LaFeAs3 after structural relaxation from Alexandria. Energies are from PBE.

Summary:
Crystal system ... cubic
Volume ... 20.81 Å³/atom
SG ... No. 221
N(E_F) ... 9.171 states/eV per cell
Distance to the lowest polymorph of the same formula ... 0.000 eV/atom

a b c (Å): 4.703 4.703 4.703
angles (deg): 90.00 90.00 90.00
Fractional positions:
As1 0.500 0.000 0.000
As2 0.000 0.000 0.500
As3 0.000 0.500 0.000
Fe1 0.000 0.000 0.000
La1 0.500 0.500 0.500

=====

Entry 2:
Here is In2ReSi after structural relaxation from Alexandria. Energies are from PBE.

Summary:
Crystal system ... tetragonal
Volume ... 18.25 Å³/atom
SG ... No. 123
N(E_F) ... 3.809 states/eV per cell
Formation energy without anion corrections ... 779.9 meV per atom

a b c (Å): 4.518 4.019 4.019
angles (deg): 90.00 90.00 90.00
Each line ends with the local moment (μB).
Fractional positions:
In1 0.000 0.500 0.500  -0.01
In2 0.000 0.000 0.000  -0.01
Si1 0.500 0.000 0.500  0.00
Re1 0.500 0.500 0.000  0.57

=====

Entry 3:
Here is PaTiRh2 after structural relaxation from Alexandria. Energies are from PBE.

Summary:
Crystal system ... tetragonal
Volume ... 17.82 Å³/atom
SG ... No. 123
N(E_F) ... 4.661 states/eV per cell
Distance to the lowest polymorph of the same formula ... 0.074 eV/atom

a b c (Å): 3.767 4.350 4.350
angles (deg): 90.00 90.00 90.00
Each line ends with the local moment (μB).
Fractional positions:
Ti1 0.500 0.500 0.500  0.99
Rh1 0.000 0.000 0.500  0.03
Rh2 0.000 0.500 0.000  0.03
Pa1 0.500 0.000 0.000  0.58

=====

Which size of the total moment belongs to each record? In order, 0.0000 0.1632 0.4854 μB per atom.
Which theoretical density belongs to each record? In order, 6.70 10.10 11.29 g/cm³.